Material: Cu2NiP
Method: DFT, PBE
State: optimized geometry

Cell: 3.5158 3.5158 3.7539 Å, 90.00 90.00 90.00°
Last column: nearest neighbours and their distance in Å.
Fractional coordinates of all 4 atoms:
P 0.0000 0.0000 0.5000  4 Ni 2.49, 8 Cu 2.57
Ni 0.5000 0.5000 0.5000  4 P 2.49, 8 Cu 2.57
Cu 0.5000 0.0000 0.0000  4 Cu 2.49, 4 Ni 2.57, 4 P 2.57
Cu 0.0000 0.5000 0.0000  4 Cu 2.49, 4 Ni 2.57, 4 P 2.57

Computed properties:
Total DFT energy (no corrections) ... -4.89 eV/atom